Here is Ho4Tm9Al11 after structural relaxation from Alexandria. Energies are from GGA-PBE.

Values from the calculation:
**Calculated formation energy**: -325 meV per atom

a = 3.312 Å, b = 13.463 Å, c = 13.463 Å
α = 111.46°, β = 90.00°, γ = 90.00°
Positions (direct):
Ho: 0.500 0.595 0.760
Tm: 0.500 0.500 0.500
Al: 0.000 0.963 0.589
Al: 0.000 0.621 0.379
Al: 0.000 0.000 0.000
Ho: 0.500 0.405 0.240
Al: 0.000 0.379 0.621
Al: 0.000 0.037 0.411
Tm: 0.500 0.612 0.165
Tm: 0.500 0.835 0.388
Al: 0.000 0.803 0.803
Ho: 0.500 0.760 0.595
Ho: 0.500 0.240 0.405
Tm: 0.500 0.990 0.796
Tm: 0.500 0.165 0.612
Tm: 0.500 0.388 0.835
Tm: 0.500 0.796 0.990
Tm: 0.500 0.010 0.204
Al: 0.000 0.811 0.189
Al: 0.000 0.189 0.811
Al: 0.000 0.589 0.963
Tm: 0.500 0.204 0.010
Al: 0.000 0.197 0.197
Al: 0.000 0.411 0.037